Density functional theory data (PBE-GGA) for a relaxed structure of BaAuF2.

The size of the total moment is 0.00 μB per cell. For the energy above the lowest structure with this stoichiometry, the calculation gives 0.143 eV per atom. The total energy comes out at -4.2585 eV/atom. As for the formation energy from raw total energies: -2.02 eV/atom. For the density of states at the Fermi level, the calculation gives 1.84 states/eV/f.u.

The space group is I-42d (No. 122) and the conventional cell measures 5.349, 5.349 and 14.686 Å, with angles of 90.00, 90.00 and 90.00 degrees. The distinct sites, in fractional coordinates, are Ba at (0.000, 0.000, 0.000), Au at (0.000, 0.000, 0.500) and F at (0.210, 0.750, 0.125).